1.
This record from the Alexandria database describes a geometry-optimized Cs4LaPm3Se8 structure. The functional is PBE.

Structure (POSCAR):
```
Cs4LaPm3Se8
1.0
4.4049 2.5431 8.3995
-4.4049 2.5431 8.3995
0.0000 -5.0863 8.3995
Cs La Pm Se
4 1 3 8
Direct
0.0000 0.0000 0.0000 Cs
0.0000 0.5000 0.5000 Cs
0.5000 0.0000 0.5000 Cs
0.5000 0.5000 0.0000 Cs
0.5000 0.5000 0.5000 La
0.0000 0.0000 0.5000 Pm
0.0000 0.5000 0.0000 Pm
0.5000 0.0000 0.0000 Pm
0.2252 0.7324 0.7324 Se
0.2297 0.2297 0.2297 Se
0.2676 0.2676 0.7748 Se
0.2676 0.7748 0.2676 Se
0.7324 0.2252 0.7324 Se
0.7324 0.7324 0.2252 Se
0.7703 0.7703 0.7703 Se
0.7748 0.2676 0.2676 Se
```

Summary:
formation energy without anion corrections = -40.4 kcal/mol of atoms

2.
This record from the Alexandria database describes a geometry-optimized ZnHg2Au structure. The functional is PBE.

Structure (POSCAR):
```
ZnHg2Au
1.0
-1.4817 2.9699 4.8476
1.4817 -2.9699 4.8476
1.4817 2.9699 -4.8476
Zn Hg Au
1 2 1
Direct
0.0000 0.0000 0.0000 Zn
0.2409 0.7409 0.5000 Hg
0.5191 0.5191 0.0000 Hg
0.7806 0.2806 0.5000 Au
```

Summary:
formation energy = 63 meV/atom

Please write out number 2 again, unchanged.
This record from the Alexandria database describes a geometry-optimized ZnHg2Au structure. The functional is PBE.

Structure (POSCAR):
```
ZnHg2Au
1.0
-1.4817 2.9699 4.8476
1.4817 -2.9699 4.8476
1.4817 2.9699 -4.8476
Zn Hg Au
1 2 1
Direct
0.0000 0.0000 0.0000 Zn
0.2409 0.7409 0.5000 Hg
0.5191 0.5191 0.0000 Hg
0.7806 0.2806 0.5000 Au
```

Summary:
formation energy = 63 meV/atom